{
  "formula": "CaFePbO2",
  "functional": "PBE with a Hubbard U",
  "state": "optimized geometry",
  "cell": [[-2.495, -0.396, -3.302], [0.405, -5.271, 0.326], [-3.310, -0.099, 2.514]],
  "species": ["Fe", "O", "O", "Pb", "Ca"],
  "frac_coords": [[0.000, 0.000, 0.000], [0.500, 0.000, 0.000], [0.000, 0.000, 0.500], [0.500, 0.500, 0.500], [0.000, 0.500, 0.000]],
  "final_energy_ev_per_atom": -4.532
}